[1]
Material: PmScTl2
Method: DFT, PBE-GGA
State: optimized geometry

Crystal system ... tetragonal
ΔE_f ... -0.295 eV/atom
SG ... P4/mmm

The structure in POSCAR format:
```
PmScTl2
1.0
4.907 0.000 0.000
0.000 4.907 0.000
0.000 0.000 4.388
Pm Sc Tl
1 1 2
Direct
0.000 0.000 0.000
0.500 0.500 0.000
0.000 0.500 0.500
0.500 0.000 0.500
```

[2]
Material: Pm2Sc2Tl3
Method: DFT, PBE-GGA
State: optimized geometry

Crystal system ... orthorhombic
ΔE_f ... -0.207 eV/atom
SG ... Cmmm

The structure in POSCAR format:
```
Pm2Sc2Tl3
1.0
2.275 -12.209 0.000
2.275 12.209 0.000
0.000 0.000 3.371
Pm Sc Tl
2 2 3
Direct
0.076 0.924 0.000
0.924 0.076 0.000
0.208 0.792 0.000
0.792 0.208 0.000
0.339 0.661 0.500
0.500 0.500 0.500
0.661 0.339 0.500
```

[3]
Material: Pm4ScTl3
Method: DFT, PBE-GGA
State: optimized geometry

Crystal system ... tetragonal
ΔE_f ... -0.235 eV/atom
SG ... I4/mmm

The structure in POSCAR format:
```
Pm4ScTl3
1.0
-2.811 2.811 7.427
2.811 -2.811 7.427
2.811 2.811 -7.427
Pm Sc Tl
4 1 3
Direct
0.124 0.624 0.500
0.376 0.876 0.500
0.624 0.124 0.500
0.876 0.376 0.500
0.000 0.000 0.000
0.243 0.243 0.000
0.500 0.500 0.000
0.757 0.757 0.000
```

[4]
Material: Pm2ScTl3
Method: DFT, PBE-GGA
State: optimized geometry

Crystal system ... tetragonal
ΔE_f ... -0.350 eV/atom
SG ... P4/mmm

The structure in POSCAR format:
```
Pm2ScTl3
1.0
3.739 0.000 0.000
0.000 3.739 0.000
0.000 0.000 11.673
Pm Sc Tl
2 1 3
Direct
0.000 0.000 0.177
0.000 0.000 0.823
0.000 0.000 0.500
0.500 0.500 0.000
0.500 0.500 0.354
0.500 0.500 0.646
```

[5]
Material: PmScTl
Method: DFT, PBE-GGA
State: optimized geometry

Energy above the most stable polymorph in this dataset ... 0.000 eV/atom
Crystal system ... tetragonal
ΔE_f ... -0.271 eV/atom
SG ... P4/nmm

The structure in POSCAR format:
```
PmScTl
1.0
4.571 0.000 0.000
0.000 4.571 0.000
0.000 0.000 8.160
Pm Sc Tl
2 2 2
Direct
0.250 0.250 0.151
0.750 0.750 0.849
0.250 0.750 0.500
0.750 0.250 0.500
0.250 0.250 0.752
0.750 0.750 0.248
```

[6]
Material: Pm15ScTl4
Method: DFT, PBE-GGA
State: optimized geometry

Crystal system ... tetragonal
ΔE_f ... -0.151 eV/atom
SG ... P4/mmm

The structure in POSCAR format:
```
Pm15ScTl4
1.0
4.952 0.000 0.000
0.000 4.952 0.000
0.000 0.000 25.165
Pm Sc Tl
15 1 4
Direct
0.000 0.000 0.000
0.000 0.000 0.201
0.000 0.000 0.401
0.000 0.000 0.599
0.000 0.000 0.799
0.000 0.500 0.101
0.000 0.500 0.301
0.000 0.500 0.500
0.000 0.500 0.699
0.000 0.500 0.899
0.500 0.000 0.101
0.500 0.000 0.301
0.500 0.000 0.500
0.500 0.000 0.699
0.500 0.000 0.899
0.500 0.500 0.000
0.500 0.500 0.204
0.500 0.500 0.401
0.500 0.500 0.599
0.500 0.500 0.796
```

[7]
Material: PmSc4Tl5
Method: DFT, PBE-GGA
State: optimized geometry

Crystal system ... tetragonal
ΔE_f ... -0.284 eV/atom
SG ... P4/mmm

The structure in POSCAR format:
```
PmSc4Tl5
1.0
3.635 0.000 0.000
0.000 3.635 0.000
0.000 0.000 18.554
Pm Sc Tl
1 4 5
Direct
0.000 0.000 0.000
0.000 0.000 0.212
0.000 0.000 0.404
0.000 0.000 0.596
0.000 0.000 0.788
0.500 0.500 0.115
0.500 0.500 0.308
0.500 0.500 0.500
0.500 0.500 0.692
0.500 0.500 0.885
```

[8]
Material: Pm6ScTl5
Method: DFT, PBE-GGA
State: optimized geometry

Crystal system ... orthorhombic
ΔE_f ... -0.289 eV/atom
SG ... Immm

The structure in POSCAR format:
```
Pm6ScTl5
1.0
-2.741 3.872 8.304
2.741 -3.872 8.304
2.741 3.872 -8.304
Pm Sc Tl
6 1 5
Direct
0.076 0.330 0.747
0.242 0.000 0.242
0.417 0.670 0.747
0.583 0.330 0.253
0.758 0.000 0.758
0.924 0.670 0.253
0.500 0.500 0.000
0.000 0.500 0.500
0.167 0.167 0.000
0.346 0.846 0.500
0.654 0.154 0.500
0.833 0.833 0.000
```

[9]
Material: PmScTl
Method: DFT, PBE-GGA
State: optimized geometry

Energy above the most stable polymorph in this dataset ... 0.080 eV/atom
Crystal system ... tetragonal
ΔE_f ... -0.191 eV/atom
SG ... I4mm

The structure in POSCAR format:
```
PmScTl
1.0
-1.773 1.773 6.587
1.773 -1.773 6.587
1.773 1.773 -6.587
Pm Sc Tl
1 1 1
Direct
0.000 0.000 0.000
0.683 0.683 0.000
0.325 0.325 0.000
```

[10]
Material: Pm4ScTl5
Method: DFT, PBE-GGA
State: optimized geometry

Crystal system ... tetragonal
ΔE_f ... -0.365 eV/atom
SG ... P4/mmm

The structure in POSCAR format:
```
Pm4ScTl5
1.0
3.745 0.000 0.000
0.000 3.745 0.000
0.000 0.000 19.944
Pm Sc Tl
4 1 5
Direct
0.000 0.000 0.104
0.000 0.000 0.311
0.000 0.000 0.689
0.000 0.000 0.896
0.000 0.000 0.500
0.500 0.500 0.000
0.500 0.500 0.208
0.500 0.500 0.415
0.500 0.500 0.585
0.500 0.500 0.792
```

[11]
Material: PmSc5Tl6
Method: DFT, PBE-GGA
State: optimized geometry

Crystal system ... monoclinic
ΔE_f ... -0.267 eV/atom
SG ... C2/m

The structure in POSCAR format:
```
PmSc5Tl6
1.0
4.470 -7.756 0.000
4.470 7.756 0.000
-2.981 0.000 4.221
Pm Sc Tl
1 5 6
Direct
0.000 0.000 0.000
0.163 0.837 0.500
0.332 0.668 0.000
0.500 0.500 0.500
0.668 0.332 0.000
0.837 0.163 0.500
0.086 0.429 0.258
0.266 0.266 0.766
0.429 0.086 0.258
0.571 0.914 0.742
0.734 0.734 0.234
0.914 0.571 0.742
```

[12]
Material: PmScTl
Method: DFT, PBE-GGA
State: optimized geometry

Energy above the most stable polymorph in this dataset ... 0.077 eV/atom
Crystal system ... hexagonal
ΔE_f ... -0.194 eV/atom
SG ... P-6m2

The structure in POSCAR format:
```
PmScTl
1.0
5.097 0.000 0.000
-2.548 4.414 0.000
0.000 0.000 3.759
Pm Sc Tl
1 1 1
Direct
0.000 0.000 0.000
0.667 0.333 0.500
0.333 0.667 0.500
```

So what do the calculations give for total magnetic moment? Going down the list: 0.65; 0.25; 1.76; 0.00; 2.33; 0.00; 0.00; 2.25; 0.00; 0.00; 0.00; 0.22 μB/cell.
So what do the calculations give for calculated total energy? Going down the list: -4.249; -4.388; -4.290; -4.172; -4.753; -4.503; -4.475; -4.178; -4.674; -4.081; -4.485; -4.676 eV/atom.